Entry from Alexandria: CaEr2ReN4 after structural relaxation (PBE).

CIF file:
```
data_CaEr2ReN4
_chemical_formula_sum 'Ca4 Er8 Re4 N16'
_cell_length_a 3.373
_cell_length_b 11.856
_cell_length_c 12.044
_cell_angle_alpha 90.00
_cell_angle_beta 90.00
_cell_angle_gamma 90.00
_space_group_name_H-M_alt 'C m c m'
_space_group_IT_number 63
_space_group_name_Hall '-C 2c 2'
loop_
_atom_site_label
_atom_site_type_symbol
_atom_site_fract_x
_atom_site_fract_y
_atom_site_fract_z
Ca1 Ca 0.000 0.064 0.250
Er1 Er 0.000 0.372 0.041
Re1 Re 0.000 0.188 0.750
N1 N 0.000 0.000 0.000
N2 N 0.000 0.261 0.612
N3 N 0.000 0.412 0.250
```

Calculated values
As for the total energy: -64.798 eV per formula unit. The calculation puts the uncorrected formation energy at -0.990 eV per atom.